Entry 1:
LiZnCr2Cd | PBE | optimized geometry

## Properties
Calculated total energy   -0.1321 hartree per atom
V   134.4 Å³/cell
Size of the total moment   9.224 μB per formula unit

abc: 5.2237 4.9240 5.2237
angles: 90.00 90.00 90.00
Each line ends with the local moment (μB).
Sites, in units of the cell vectors:
Zn 0.0000 0.5000 0.0000  -0.04
Cd 0.0000 0.0000 0.0000  0.03
Li 0.5000 0.5000 0.5000  0.01
Cr 0.5000 0.0000 0.0000  3.95
Cr 0.0000 0.0000 0.5000  4.06

Entry 2:
Lu2CrCd | PBE | optimized geometry

## Properties
V   93.0 Å³/cell
Distance to the lowest polymorph of the same formula   43 meV per atom
Size of the total moment   3.747 μB per formula unit

abc: 5.0847 5.0847 5.0847
angles: 60.00 60.00 60.00
Each line ends with the local moment (μB).
Sites, in units of the cell vectors:
Cr 0.0000 0.0000 0.0000  -3.48
Cd 0.5000 0.5000 0.5000  0.04
Lu 0.2500 0.2500 0.2500  0.02
Lu 0.7500 0.7500 0.7500  0.02

Entry 3:
Lu2CrCd | PBE | optimized geometry

## Properties
V   90.5 Å³/cell
Distance to the lowest polymorph of the same formula   0 meV per atom
Size of the total moment   2.841 μB per formula unit

abc: 3.4286 3.4286 7.6994
angles: 90.00 90.00 90.00
Each line ends with the local moment (μB).
Sites, in units of the cell vectors:
Lu 0.0000 0.0000 0.7759  -0.05
Lu 0.0000 0.0000 0.2241  -0.05
Cr 0.5000 0.5000 0.0000  2.73
Cd 0.5000 0.5000 0.5000  0.01

Entry 4:
LuScCrCd | PBE | optimized geometry

## Properties
Calculated total energy   -0.1952 hartree per atom
V   88.0 Å³/cell
Size of the total moment   3.659 μB per formula unit

abc: 4.9926 4.9926 4.9926
angles: 60.00 60.00 60.00
Each line ends with the local moment (μB).
Sites, in units of the cell vectors:
Cd 0.2500 0.2500 0.2500  0.04
Cr 0.7500 0.7500 0.7500  -3.44
Lu 0.0000 0.0000 0.0000  0.00
Sc 0.5000 0.5000 0.5000  0.09

Entry 5:
TbLuCrCd | PBE | optimized geometry

## Properties
Calculated total energy   -0.1797 hartree per atom
V   96.1 Å³/cell
Size of the total moment   3.573 μB per formula unit

abc: 5.1420 5.1420 5.1420
angles: 60.00 60.00 60.00
Each line ends with the local moment (μB).
Sites, in units of the cell vectors:
Cd 0.5000 0.5000 0.5000  -0.05
Tb 0.7500 0.7500 0.7500  -0.08
Lu 0.2500 0.2500 0.2500  -0.07
Cr 0.0000 0.0000 0.0000  3.50

Entry 6:
TmLuCrCd | PBE | optimized geometry

## Properties
Calculated total energy   -0.1784 hartree per atom
V   93.9 Å³/cell
Size of the total moment   3.694 μB per formula unit

abc: 5.1018 5.1018 5.1018
angles: 60.00 60.00 60.00
Each line ends with the local moment (μB).
Sites, in units of the cell vectors:
Cd 0.2500 0.2500 0.2500  0.04
Lu 0.5000 0.5000 0.5000  0.04
Cr 0.7500 0.7500 0.7500  -3.48
Tm 0.0000 0.0000 0.0000  0.04

Entry 7:
MgCr2Cd | PBE | optimized geometry

## Properties
Calculated total energy   -0.1872 hartree per atom
V   68.0 Å³/cell
Size of the total moment   0.019 μB per formula unit

abc: 5.3431 5.3431 5.3431
angles: 145.45 127.35 64.51
Each line ends with the local moment (μB).
Sites, in units of the cell vectors:
Cd 0.2392 0.7392 0.5000  0.00
Mg 0.5107 0.5107 0.0000  0.00
Cr 0.7813 0.2813 0.5000  -2.48
Cr 0.9689 0.9689 0.0000  2.50

Entry 8:
MgCr2Cd | PBE | optimized geometry

## Properties
Calculated total energy   -0.1927 hartree per atom
V   67.0 Å³/cell
Size of the total moment   0.085 μB per formula unit

abc: 3.0893 3.0966 7.6560
angles: 66.11 90.00 90.00
Each line ends with the local moment (μB).
Sites, in units of the cell vectors:
Cr 0.0000 0.9463 0.0542  2.06
Cr 0.5000 0.3014 0.1987  -2.08
Mg 0.0000 0.5268 0.4721  0.00
Cd 0.5000 0.7255 0.7750  -0.01

Entry 9:
MgCr2Cd | PBE | optimized geometry

## Properties
Calculated total energy   -0.1752 hartree per atom
V   61.8 Å³/cell
Size of the total moment   0.000 μB per formula unit

abc: 2.6401 2.6401 9.0177
angles: 90.00 90.00 100.75
Sites, in units of the cell vectors:
Mg 0.5000 0.5000 0.2500
Cr 0.0000 0.0000 0.0036
Cr 0.0000 0.0000 0.4964
Cd 0.5000 0.5000 0.7500

Entry 10:
MgCr2Cd | PBE | optimized geometry

## Properties
Calculated total energy   -0.1799 hartree per atom
V   65.9 Å³/cell
Size of the total moment   0.000 μB per formula unit

abc: 5.3865 5.3865 4.5267
angles: 66.51 66.51 33.52
Sites, in units of the cell vectors:
Mg 0.2500 0.2500 0.2500
Cr 0.4994 0.4994 0.4211
Cr 0.0006 0.0006 0.0789
Cd 0.7500 0.7500 0.7500

Entry 11:
MgCrCd | PBE | optimized geometry

## Properties
V   52.1 Å³/cell
Distance to the lowest polymorph of the same formula   195 meV per atom
Size of the total moment   0.517 μB per formula unit

abc: 6.9698 6.9698 6.9698
angles: 156.90 156.90 32.90
Each line ends with the local moment (μB).
Sites, in units of the cell vectors:
Cr 0.6691 0.6691 0.0000  0.54
Mg 0.3208 0.3208 0.0000  -0.01
Cd 0.0101 0.0101 0.0000  -0.01

Entry 12:
Mg4Cr2Cd | PBE | optimized geometry

## Properties
Calculated total energy   -0.1106 hartree per atom
V   189.6 Å³/cell
Size of the total moment   9.454 μB per formula unit

abc: 5.1389 5.1389 8.0461
angles: 71.38 71.38 90.00
Each line ends with the local moment (μB).
Sites, in units of the cell vectors:
Mg 0.0000 0.5000 0.0000  -0.01
Mg 0.1958 0.1958 0.6084  0.00
Mg 0.8042 0.8042 0.3916  0.00
Mg 0.5000 0.0000 0.0000  -0.01
Cr 0.3937 0.3937 0.2126  4.00
Cr 0.6063 0.6063 0.7874  4.00
Cd 0.0000 0.0000 0.0000  -0.01

- What is the size of the total moment in the first record?
  9.224 μB per formula unit

- Which formula does entry 4 have?
  LuScCrCd